Record 1
Density functional theory data (PBE-GGA) for SiAgP2 after structural relaxation.

Cell: 5.687 5.687 5.687 Å, 142.70 142.70 53.78°
Atoms (fractional coordinates):
Ag 0.750 0.250 0.500
Si 0.500 0.500 0.000
P 0.250 0.750 0.500
P 0.000 0.000 0.000

Crystal system: tetragonal
Space group: I-4m2, No. 119
Uncorrected energy, eV per atom: -4.152

***

Record 2
Density functional theory data (PBE-GGA) for Zn2BRh6 after structural relaxation.

Cell: 4.342 5.429 6.051 Å, 116.66 89.98 90.00°
Atoms (fractional coordinates):
Rh 0.000 0.400 0.270
Rh 0.500 0.759 0.000
Rh 0.500 0.241 0.000
Zn 0.500 0.753 0.507
Rh 0.000 0.129 0.730
Rh 0.000 0.871 0.270
Zn 0.500 0.247 0.493
B 0.000 0.000 0.000
Rh 0.000 0.600 0.730

Crystal system: orthorhombic
ΔE_f, eV/atom: 0.007
Space group: Cmmm, No. 65
Uncorrected energy, eV per atom: -5.919

***

Record 3
Density functional theory data (PBE-GGA) for TbScHg4 after structural relaxation.

Cell: 3.850 5.107 7.470 Å, 90.00 104.98 90.00°
Atoms (fractional coordinates):
Hg 0.980 0.497 0.704
Hg 0.515 0.997 0.777
Hg 0.319 0.497 0.383
Tb 0.649 0.497 0.041
Sc 0.854 0.997 0.455
Hg 0.191 0.997 0.128

Crystal system: orthorhombic
ΔE_f, eV/atom: -0.335
Space group: Amm2, No. 38
Distance to the lowest polymorph of the same formula, meV per atom: 0
Uncorrected energy, eV per atom: -2.363

***

Across the entries above, total magnetic moment takes the values 0.000, 0.000, 0.000 μB per formula unit, respectively.